# 1
Here is a geometry-optimized Li5Ca2CdGa2 structure from Alexandria. Energies are from PBE-GGA.

Cell and atoms, written as extended XYZ:
```
20
Lattice="10.7396 0.0000 0.0000 0.0000 10.7396 0.0000 0.0000 0.0000 3.8452" Properties=species:S:1:pos:R:3 pbc="T T T"
Li 0.0000 5.3698 0.0000
Li 0.6739 2.1742 0.0000
Li 2.1742 10.0657 0.0000
Li 3.1956 4.6959 0.0000
Li 4.6959 7.5440 0.0000
Li 5.3698 0.0000 0.0000
Li 6.0437 3.1956 0.0000
Li 7.5440 6.0437 0.0000
Li 8.5654 0.6739 0.0000
Li 10.0657 8.5654 0.0000
Ca 1.8777 7.2475 1.9226
Ca 3.4921 1.8777 1.9226
Ca 7.2475 8.8620 1.9226
Ca 8.8620 3.4921 1.9226
Cd 0.0000 0.0000 1.9226
Cd 5.3698 5.3698 1.9226
Ga 1.2993 4.0706 1.9226
Ga 4.0706 9.4404 1.9226
Ga 6.6691 1.2993 1.9226
Ga 9.4404 6.6691 1.9226
```

Output
The volume comes out at 22.2 Å³ per atom. For the raw total energy, the calculation gives -0.16463 Ry/atom. As for the total moment: 0.00 μB/cell. As for the symmetry: P4/mbm. Its formation energy from the elements is -0.186 eV per atom.



# 2
Here is a geometry-optimized CaMg2Cd2Ga structure from Alexandria. Energies are from PBE-GGA.

Cell and atoms, written as extended XYZ:
```
12
Lattice="5.5238 0.0000 0.0000 0.0000 5.5238 0.0000 0.0000 0.0000 11.5157" Properties=species:S:1:pos:R:3 pbc="T T T"
Ca 0.0000 0.0000 0.0000
Ca 2.7619 2.7619 5.7578
Mg 0.0000 2.7619 2.8789
Mg 0.0000 2.7619 8.6367
Mg 2.7619 0.0000 2.8789
Mg 2.7619 0.0000 8.6367
Cd 0.0000 0.0000 3.1657
Cd 0.0000 0.0000 8.3499
Cd 2.7619 2.7619 2.5921
Cd 2.7619 2.7619 8.9236
Ga 0.0000 0.0000 5.7578
Ga 2.7619 2.7619 0.0000
```

Output
The volume comes out at 29.3 Å³ per atom. For the raw total energy, the calculation gives -0.11327 Ry/atom. As for the total moment: 0.00 μB/cell. As for the symmetry: I4/mmm. Its formation energy from the elements is 0.134 eV per atom.



# 3
Here is a geometry-optimized NaCaCdGa structure from Alexandria. Energies are from PBE-GGA.

Cell and atoms, written as extended XYZ:
```
16
Lattice="7.1648 0.0000 0.0000 0.0000 7.1648 0.0000 0.0000 0.0000 7.1648" Properties=species:S:1:pos:R:3 pbc="T T T"
Na 0.0000 0.0000 0.0000
Na 0.0000 3.5824 3.5824
Na 3.5824 0.0000 3.5824
Na 3.5824 3.5824 0.0000
Ca 1.7912 1.7912 1.7912
Ca 1.7912 5.3736 5.3736
Ca 5.3736 1.7912 5.3736
Ca 5.3736 5.3736 1.7912
Cd 1.7912 1.7912 5.3736
Cd 1.7912 5.3736 1.7912
Cd 5.3736 1.7912 1.7912
Cd 5.3736 5.3736 5.3736
Ga 0.0000 0.0000 3.5824
Ga 0.0000 3.5824 0.0000
Ga 3.5824 0.0000 0.0000
Ga 3.5824 3.5824 3.5824
```

Output
The volume comes out at 23.0 Å³ per atom. For the raw total energy, the calculation gives -0.14858 Ry/atom. As for the total moment: 0.00 μB/cell. As for the symmetry: F-43m. Its formation energy from the elements is -0.206 eV per atom.



# 4
Here is a geometry-optimized CaNdCdGa structure from Alexandria. Energies are from PBE-GGA.

Cell and atoms, written as extended XYZ:
```
16
Lattice="7.5305 0.0000 0.0000 0.0000 7.5305 0.0000 0.0000 0.0000 7.5305" Properties=species:S:1:pos:R:3 pbc="T T T"
Ca 0.0000 0.0000 0.0000
Ca 0.0000 3.7652 3.7652
Ca 3.7652 0.0000 3.7652
Ca 3.7652 3.7652 0.0000
Nd 0.0000 0.0000 3.7652
Nd 0.0000 3.7652 0.0000
Nd 3.7652 0.0000 0.0000
Nd 3.7652 3.7652 3.7652
Cd 1.8826 1.8826 5.6478
Cd 1.8826 5.6478 1.8826
Cd 5.6478 1.8826 1.8826
Cd 5.6478 5.6478 5.6478
Ga 1.8826 1.8826 1.8826
Ga 1.8826 5.6478 5.6478
Ga 5.6478 1.8826 5.6478
Ga 5.6478 5.6478 1.8826
```

Output
The volume comes out at 26.7 Å³ per atom. For the raw total energy, the calculation gives -0.22913 Ry/atom. As for the total moment: 0.00 μB/cell. As for the symmetry: F-43m. Its formation energy from the elements is -0.440 eV per atom.



# 5
Here is a geometry-optimized Ca2CdGaNi structure from Alexandria. Energies are from PBE-GGA.

Cell and atoms, written as extended XYZ:
```
5
Lattice="5.3726 0.0000 0.0000 0.0000 5.3726 0.0000 0.0000 0.0000 4.5725" Properties=species:S:1:pos:R:3 pbc="T T T"
Ca 0.0000 2.6863 0.0000
Ca 2.6863 0.0000 0.0000
Cd 0.0000 0.0000 2.2862
Ga 2.6863 2.6863 2.2862
Ni 2.6863 2.6863 0.0000
```

Output
The volume comes out at 26.4 Å³ per atom. For the raw total energy, the calculation gives -0.21872 Ry/atom. As for the total moment: 0.00 μB/cell. As for the symmetry: P4/mmm. Its formation energy from the elements is -0.231 eV per atom.



# 6
Here is a geometry-optimized CaCd2GaNi structure from Alexandria. Energies are from PBE-GGA.

Cell and atoms, written as extended XYZ:
```
5
Lattice="4.9884 0.0000 0.0000 0.0000 4.9884 0.0000 0.0000 0.0000 4.6058" Properties=species:S:1:pos:R:3 pbc="T T T"
Ca 0.0000 0.0000 0.0000
Cd 0.0000 2.4942 2.3029
Cd 2.4942 0.0000 2.3029
Ga 2.4942 2.4942 0.0000
Ni 2.4942 2.4942 2.3029
```

Output
The volume comes out at 22.9 Å³ per atom. For the raw total energy, the calculation gives -0.19948 Ry/atom. As for the total moment: 0.00 μB/cell. As for the symmetry: P4/mmm. Its formation energy from the elements is -0.186 eV per atom.



# 7
Here is a geometry-optimized CaCdGa2Ni structure from Alexandria. Energies are from PBE-GGA.

Cell and atoms, written as extended XYZ:
```
5
Lattice="4.6242 0.0000 0.0000 0.0000 4.6242 0.0000 0.0000 0.0000 4.9792" Properties=species:S:1:pos:R:3 pbc="T T T"
Ca 0.0000 0.0000 0.0000
Cd 2.3121 2.3121 0.0000
Ga 0.0000 2.3121 2.4896
Ga 2.3121 0.0000 2.4896
Ni 2.3121 2.3121 2.4896
```

Output
The volume comes out at 21.3 Å³ per atom. For the raw total energy, the calculation gives -0.23547 Ry/atom. As for the total moment: 0.00 μB/cell. As for the symmetry: P4/mmm. Its formation energy from the elements is -0.253 eV per atom.



# 8
Here is a geometry-optimized CaCdGa2O structure from Alexandria. Energies are from PBE-GGA.

Cell and atoms, written as extended XYZ:
```
5
Lattice="4.7357 0.0000 0.0000 0.0000 4.7357 0.0000 0.0000 0.0000 4.6459" Properties=species:S:1:pos:R:3 pbc="T T T"
Ca 0.0000 0.0000 0.0000
Cd 2.3679 2.3679 0.0000
Ga 0.0000 2.3679 2.3229
Ga 2.3679 0.0000 2.3229
O 2.3679 2.3679 2.3229
```

Output
The volume comes out at 20.8 Å³ per atom. The uncorrected formation energy comes out at -0.290 eV per atom. For the raw total energy, the calculation gives -0.22605 Ry/atom. As for the total moment: 0.00 μB/cell. As for the symmetry: P4/mmm.



Q: What is the raw total energy in the third record?
A: -0.14858 Ry/atom